Material: Mn2Cu2Si
Method: DFT, PBE
State: relaxed

SG: P4/mbm (127)
Mass density (Mg/m³): 6.87
E (eV per atom): -6.162
Raw formation energy (kJ per mole of atoms): 22
Total magnetization (μB/cell): 4.60

abc: 5.7858 5.7858 3.8304
angles: 90.00 90.00 90.00
Closest atoms and distances in Å follow each position.
Fractional coordinates of all 10 atoms:
Cu 0.6685 0.8315 0.5000  6 Mn 2.54-2.58, 1 Cu 2.76
Cu 0.1685 0.6685 0.5000  6 Mn 2.54-2.58, 1 Cu 2.76
Cu 0.3315 0.1685 0.5000  6 Mn 2.54-2.58, 1 Cu 2.76
Cu 0.8315 0.3315 0.5000  6 Mn 2.54-2.58, 1 Cu 2.76
Mn 0.8719 0.6281 0.0000  1 Mn 2.10, 2 Si 2.28
Mn 0.1281 0.3719 0.0000  1 Mn 2.10, 2 Si 2.28
Mn 0.3719 0.8719 0.0000  1 Mn 2.10, 2 Si 2.28
Mn 0.6281 0.1281 0.0000  1 Mn 2.10, 2 Si 2.28
Si 0.0000 0.0000 0.0000  4 Mn 2.28
Si 0.5000 0.5000 0.0000  4 Mn 2.28

Material: Al3Zn6Ag
Method: DFT, PBE
State: relaxed

SG: P2_1/m (11)
Mass density (Mg/m³): 5.97
E (eV per atom): -2.131
Total magnetization (μB/cell): 0.00

abc: 2.8586 13.3869 9.2982
angles: 114.70 90.00 90.00
Closest atoms and distances in Å follow each position.
Fractional coordinates of all 20 atoms:
Al 0.2500 0.5510 0.1420  6 Al 2.81-2.86, 6 Zn 2.81-2.88
Al 0.7500 0.6407 0.4280  7 Zn 2.60-2.80, 4 Al 2.81-2.86
Al 0.2500 0.3593 0.5720  7 Zn 2.60-2.80, 4 Al 2.81-2.86
Al 0.2500 0.9412 0.8582  6 Zn 2.64-2.93, 4 Al 2.83-2.86
Al 0.7500 0.0588 0.1418  6 Zn 2.64-2.93, 4 Al 2.83-2.86
Al 0.7500 0.4490 0.8580  6 Al 2.81-2.86, 6 Zn 2.81-2.88
Zn 0.2500 0.1569 0.9573  6 Zn 2.61-2.86, 1 Al 2.64, 2 Ag 2.88
Zn 0.7500 0.7504 0.2397  5 Zn 2.61-2.86, 3 Al 2.72-2.82
Zn 0.2500 0.2496 0.7603  5 Zn 2.61-2.86, 3 Al 2.72-2.82
Zn 0.7500 0.1623 0.4736  3 Al 2.80-2.81, 6 Zn 2.81-2.95, 3 Ag 2.85-2.88
Zn 0.2500 0.2449 0.2673  4 Zn 2.56-2.86, 3 Al 2.60-2.68
Zn 0.7500 0.5465 0.6426  7 Zn 2.56-2.86, 4 Al 2.72-2.81
Zn 0.7500 0.8431 0.0427  6 Zn 2.61-2.86, 1 Al 2.64, 2 Ag 2.88
Zn 0.2500 0.4535 0.3574  7 Zn 2.56-2.86, 4 Al 2.72-2.81
Zn 0.2500 0.6513 0.9289  8 Zn 2.74-2.99, 3 Al 2.82-2.88
Zn 0.7500 0.7551 0.7327  4 Zn 2.56-2.86, 3 Al 2.60-2.68
Zn 0.2500 0.8377 0.5264  3 Al 2.80-2.81, 6 Zn 2.81-2.95, 3 Ag 2.85-2.88
Zn 0.7500 0.3487 0.0711  8 Zn 2.74-2.99, 3 Al 2.82-2.88
Ag 0.2500 0.9597 0.3338  7 Zn 2.85-2.93, 4 Ag 2.86-3.16, 2 Al 2.99
Ag 0.7500 0.0403 0.6662  7 Zn 2.85-2.93, 4 Ag 2.86-3.16, 2 Al 2.99

Material: HfOs2RuS
Method: DFT, PBE
State: relaxed

SG: P4/mmm (123)
Mass density (Mg/m³): 10.01
E (eV per atom): -6.733
Raw formation energy (kJ per mole of atoms): 235
Total magnetization (μB/cell): 4.99

abc: 4.8867 4.8090 4.8867
angles: 90.00 90.00 90.00
Closest atoms and distances in Å follow each position.
Fractional coordinates of all 5 atoms:
S 0.5000 0.5000 0.5000  8 Os 3.43, 4 Ru 3.46
Ru 0.0000 0.5000 0.0000  2 Hf 2.40
Hf 0.0000 0.0000 0.0000  2 Ru 2.40, 4 Os 2.44
Os 0.0000 0.0000 0.5000  2 Hf 2.44
Os 0.5000 0.0000 0.0000  2 Hf 2.44

Material: LaGdTcAg
Method: DFT, PBE
State: relaxed

SG: F-43m (216)
Mass density (Mg/m³): 8.82
E (eV per atom): -8.072
Total magnetization (μB/cell): 6.98

abc: 5.1138 5.1138 5.1138
angles: 60.00 60.00 60.00
Closest atoms and distances in Å follow each position.
Fractional coordinates of all 4 atoms:
La 0.2500 0.2500 0.2500  4 Tc 3.13, 4 Ag 3.13
Tc 0.5000 0.5000 0.5000  4 Gd 3.13, 4 La 3.13
Gd 0.7500 0.7500 0.7500  4 Ag 3.13, 4 Tc 3.13
Ag 0.0000 0.0000 0.0000  4 Gd 3.13, 4 La 3.13

Material: MnPt2W
Method: DFT, PBE
State: relaxed

SG: Fm-3m (225)
Mass density (Mg/m³): 17.41
E (eV per atom): -8.241
Total magnetization (μB/cell): 0.01

abc: 4.3939 4.3939 4.3939
angles: 60.00 60.00 60.00
Closest atoms and distances in Å follow each position.
Fractional coordinates of all 4 atoms:
Pt 0.7500 0.7500 0.7500  4 W 2.69, 4 Mn 2.69
Pt 0.2500 0.2500 0.2500  4 W 2.69, 4 Mn 2.69
Mn 0.0000 0.0000 0.0000  8 Pt 2.69
W 0.5000 0.5000 0.5000  8 Pt 2.69

Material: KCu2Re
Method: DFT, PBE
State: relaxed

SG: F-43m (216)
Mass density (Mg/m³): 8.42
E (eV per atom): -3.831
Total magnetization (μB/cell): 2.49

abc: 4.6155 4.6155 4.6155
angles: 60.00 60.00 60.00
Closest atoms and distances in Å follow each position.
Fractional coordinates of all 4 atoms:
Re 0.7500 0.7500 0.7500  4 K 2.83, 4 Cu 2.83
Cu 0.0000 0.0000 0.0000  4 Re 2.83, 4 Cu 2.83
Cu 0.2500 0.2500 0.2500  4 K 2.83, 4 Cu 2.83
K 0.5000 0.5000 0.5000  4 Cu 2.83, 4 Re 2.83